[1]
A geometry-optimized Dy3NpTl4S8 structure. Source: the Alexandria database, functional PBE-GGA.

## Properties
As for the crystal system: trigonal. As for the formation energy (no corrections): -1.363 eV per atom. As for the space-group type: R-3m (166).

a b c (Å): 8.091 8.850 8.090
angles (deg): 117.19 120.00 90.00
Site moments in Bohr magnetons follow the coordinates.
Fractional positions:
S 0.767 0.303 0.036  -0.03
S 0.731 0.697 0.964  -0.03
Dy 0.000 0.500 0.500  0.03
Dy 0.500 0.500 0.000  0.03
Np 0.000 0.500 0.000  3.77
S 0.732 0.697 0.465  0.00
Tl 0.000 0.000 0.000  0.01
Tl 0.500 0.000 0.500  0.01
S 0.268 0.303 0.535  0.00
S 0.233 0.697 0.467  -0.03
Dy 0.500 0.500 0.500  0.03
S 0.767 0.303 0.533  -0.03
Tl 0.500 0.000 0.000  -0.01
S 0.233 0.697 0.964  -0.03
S 0.269 0.303 0.036  -0.03
Tl 0.000 0.000 0.500  0.01



[2]
A geometry-optimized PuNp3U2N6 structure. Source: the Alexandria database, functional PBE-GGA.

## Properties
As for the crystal system: monoclinic. As for the formation energy (no corrections): -1.210 eV per atom. As for the space-group type: C2/m (12).

a b c (Å): 5.971 5.971 5.958
angles (deg): 99.65 99.65 119.99
Site moments in Bohr magnetons follow the coordinates.
Fractional positions:
N 0.083 0.422 0.248  -0.12
N 0.258 0.258 0.755  -0.13
N 0.742 0.742 0.245  -0.13
U 0.333 0.667 0.000  0.98
Pu 0.000 0.000 0.000  4.61
N 0.422 0.083 0.248  -0.12
Np 0.500 0.500 0.500  3.08
U 0.667 0.333 0.000  0.98
N 0.578 0.917 0.752  -0.12
Np 0.165 0.835 0.500  3.08
Np 0.835 0.165 0.500  3.08
N 0.917 0.578 0.752  -0.12



[3]
A geometry-optimized NdHoCd structure. Source: the Alexandria database, functional PBE-GGA.

## Properties
As for the crystal system: orthorhombic. The formation energy from the elements comes out at -216.3 meV/atom. As for the space-group type: Cmcm (63).

a b c (Å): 3.721 5.542 8.771
angles (deg): 90.00 102.25 90.00
Fractional positions:
Ho 0.228 0.750 0.455
Cd 0.575 0.750 0.150
Nd 0.087 0.250 0.174
Nd 0.913 0.750 0.826
Cd 0.425 0.250 0.850
Ho 0.772 0.250 0.545



[4]
A geometry-optimized AcSn4Au2 structure. Source: the Alexandria database, functional PBE-GGA.

## Properties
As for the crystal system: orthorhombic. The formation energy from the elements comes out at -334.7 meV/atom. As for the space-group type: Cmmm (65).

a b c (Å): 4.244 4.841 9.430
angles (deg): 104.87 90.00 90.00
Fractional positions:
Au 0.500 0.425 0.849
Sn 0.500 0.834 0.667
Sn 0.500 0.166 0.333
Sn 0.000 0.311 0.622
Sn 0.000 0.689 0.378
Au 0.500 0.575 0.151
Ac 0.000 0.000 0.000



| no. | Fermi-level density of states (states/eV/f.u.) | total moment (μB per cell) |
| --- | --- | --- |
| 1 | 6.08 | 4.00 |
| 2 | 23.46 | 15.89 |
| 3 | 3.55 | 0.00 |
| 4 | 3.90 | 0.00 |